1.
Density functional theory data (GGA-PBEsol) for crystalline TlHgMoO2 at its relaxed geometry.

Properties
For the uncorrected formation energy, the calculation gives -798 meV per atom. Its crystal system is tetragonal.

```
TlHgMoO2
1.0
3.8897 0.0000 0.0000
0.0000 3.8897 0.0000
0.0000 0.0000 5.8024
O Hg Mo Tl
2 1 1 1
Direct
0.5000 0.0000 0.0000
0.0000 0.5000 0.0000
0.5000 0.5000 0.5000
0.0000 0.0000 0.0000
0.0000 0.0000 0.5000
```

=====

2.
Density functional theory data (GGA-PBEsol) for crystalline Hg2MoOs at its relaxed geometry.

Properties
The formation energy is 0.853 eV per atom. Its crystal system is tetragonal.

```
Hg2MoOs
1.0
-0.3605 0.5025 -3.9055
2.3501 -3.1193 -0.6182
-4.4616 -1.3004 2.2462
Mo Os Hg
1 1 2
Direct
0.5000 0.5000 0.0000
0.0000 0.0000 0.0000
0.2500 0.7500 0.5000
0.7500 0.2500 0.5000
```

=====

3.
Density functional theory data (GGA-PBEsol) for crystalline Hg2MoOs at its relaxed geometry.

Properties
The formation energy is 0.780 eV per atom. Its crystal system is orthorhombic.

```
Hg2MoOs
1.0
2.9629 0.0000 0.0000
0.0000 4.7718 0.0000
0.0000 0.0000 4.8587
Os Mo Hg
1 1 2
Direct
0.0000 0.5000 0.5000
0.5000 0.0000 0.5000
0.5000 0.5000 0.0000
0.0000 0.0000 0.0000
```

=====

4.
Density functional theory data (GGA-PBEsol) for crystalline Hg2MoOs at its relaxed geometry.

Properties
The formation energy is 0.706 eV per atom. Its crystal system is monoclinic.

```
Hg2MoOs
1.0
2.9193 0.0000 0.0000
0.0000 4.9639 0.0196
-1.4597 -0.8647 4.6578
Hg Os Mo
2 1 1
Direct
0.2511 0.2514 0.5022
0.7489 0.7486 0.4978
0.0000 0.5000 0.0000
0.5000 0.0000 0.0000
```

=====

no.,D(E_F) (states/eV per cell),calculated total energy (eV per formula unit)
1,1.87,-29.45
2,4.75,-21.71
3,3.43,-22.00
4,3.96,-22.29